No. 1
The following is a DFT calculation (SCAN) of YTlSiHg2 at its PBEsol-relaxed geometry.

M_tot (μB per atom): 0.000
Energy relative to the elements, uncorrected (eV per atom): 0.182
D(E_F) (states/eV/f.u.): 2.53

Unit cell a=4.9884 b=4.9884 c=5.1089 alpha=90.00 beta=90.00 gamma=90.00
Closest atoms and distances in Å follow each position.
Space group P4/mmm (No. 123)
Symmetry-distinct sites (fractional):
Y: 0.0000 0.0000 0.0000 x1  4 Tl 3.53, 8 Hg 3.57
Tl: 0.5000 0.5000 0.0000 x1  2 Si 2.55
Si: 0.5000 0.5000 0.5000 x1  4 Hg 2.49, 2 Tl 2.55
Hg: 0.0000 0.5000 0.5000 x2  2 Si 2.49

***

No. 2
The following is a DFT calculation (SCAN) of PSeF3 at its PBEsol-relaxed geometry.

M_tot (μB per atom): 0.401
Energy relative to the elements, uncorrected (eV per atom): -0.643
D(E_F) (states/eV/f.u.): 2.71

Unit cell a=4.1148 b=4.1148 c=4.1148 alpha=90.00 beta=90.00 gamma=90.00
Closest atoms and distances in Å follow each position.
Space group Pm-3m (No. 221)
Symmetry-distinct sites (fractional):
P: 0.0000 0.0000 0.0000 x1  6 F 2.06
Se: 0.5000 0.5000 0.5000 x1  12 F 2.91
F: 0.0000 0.0000 0.5000 x3  2 P 2.06

***

No. 3
The following is a DFT calculation (SCAN) of Co4AgPb at its PBEsol-relaxed geometry.

M_tot (μB per atom): 1.256
D(E_F) (states/eV/f.u.): 5.89
ΔE_f (eV/atom): 0.4324

Unit cell a=6.8711 b=6.8711 c=6.8711 alpha=90.00 beta=90.00 gamma=90.00
Closest atoms and distances in Å follow each position.
Space group F-43m (No. 216)
Symmetry-distinct sites (fractional):
Co: 0.1245 0.1245 0.1245 x16  6 Co 2.42-2.44
Ag: 0.2500 0.2500 0.7500 x4  12 Co 2.85, 4 Pb 2.98
Pb: 0.0000 0.0000 0.5000 x4  12 Co 2.85, 4 Ag 2.98